# 1
MgZrIn3 PBE relaxed; symmetry = Pm-3m (221); E_form = 697 meV per atom
1.0
5.175 0.000 0.000
0.000 5.175 0.000
0.000 0.000 5.175
In Mg Zr
3 1 1
Direct
0.000 0.000 0.500
0.000 0.500 0.000
0.500 0.000 0.000
0.000 0.000 0.000
0.500 0.500 0.500



# 2
Sc2TaAu PBE relaxed; symmetry = Cmmm (65); E_form = -148 meV per atom
1.0
-0.543 -3.800 3.163
4.658 0.666 1.612
-1.064 2.017 2.241
Au Sc Ta
1 2 1
Direct
0.000 0.500 0.500
0.500 0.500 0.000
0.000 0.000 0.000
0.500 0.000 0.500



# 3
BaCdBi4 PBE relaxed; symmetry = P-1 (2); E_form = -239 meV per atom
1.0
6.935 -0.015 -0.091
0.019 7.226 1.669
-3.358 -0.456 8.673
Cd Bi Ba
2 8 2
Direct
0.500 0.000 0.500
0.000 0.500 0.500
0.229 0.737 0.824
0.593 0.234 0.822
0.061 0.917 0.378
0.317 0.417 0.378
0.939 0.083 0.622
0.683 0.583 0.622
0.771 0.263 0.176
0.407 0.766 0.178
0.193 0.251 0.000
0.807 0.749 0.000



# 4
Ba2SrTlS4 PBE relaxed; symmetry = Imma (74); raw formation energy = -1.554 eV per atom
1.0
8.839 -0.007 0.012
-0.013 8.839 0.012
-4.354 -4.357 6.231
Ba S Sr Tl
4 8 2 2
Direct
0.500 0.000 0.000
0.500 0.500 0.000
0.500 0.000 0.500
0.000 0.000 0.500
0.238 0.741 0.990
0.762 0.259 0.010
0.245 0.256 0.493
0.245 0.255 0.007
0.755 0.745 0.993
0.755 0.745 0.507
0.241 0.738 0.490
0.759 0.262 0.510
0.000 0.500 0.000
0.000 0.500 0.500
0.000 0.000 0.000
0.500 0.500 0.500



# 5
YTlCrPd2 PBE relaxed; symmetry = P4/mmm (123); E_form = 361 meV per atom
1.0
-1.258 4.072 1.977
-4.286 -0.075 -2.572
-2.065 -2.342 3.511
Tl Pd Y Cr
1 2 1 1
Direct
0.000 0.500 0.000
0.000 0.000 0.500
0.500 0.000 0.000
0.500 0.500 0.500
0.000 0.000 0.000



# 6
RbCrPb3 PBE relaxed; symmetry = Pm-3m (221); E_form = 270 meV per atom
1.0
-2.415 2.178 -4.241
-4.664 -2.064 1.596
-0.988 4.422 2.833
Pb Rb Cr
3 1 1
Direct
0.000 0.500 0.000
0.500 0.000 0.000
0.000 0.000 0.500
0.500 0.500 0.500
0.000 0.000 0.000



# 7
Dy2Ho4Er PBE relaxed; symmetry = P2_1/m (11); E_form = 142 meV per atom
1.0
6.012 0.000 -0.279
0.000 6.523 0.000
-2.368 0.000 11.199
Er Ho Dy
2 8 4
Direct
0.848 0.250 0.843
0.152 0.750 0.157
0.651 0.996 0.289
0.848 0.250 0.557
0.349 0.496 0.711
0.023 0.750 0.857
0.349 0.004 0.711
0.977 0.250 0.143
0.651 0.504 0.289
0.152 0.750 0.443
0.285 0.250 0.428
0.398 0.250 0.004
0.715 0.750 0.572
0.602 0.750 0.996



# 8
NaSr3Ga PBE relaxed; symmetry = Pm-3m (221); E_form = -91 meV per atom
1.0
-3.128 -2.361 -7.379
-6.826 -2.923 3.830
-3.663 7.463 -0.835
Na Ga Sr
3 3 9
Direct
0.500 0.500 0.000
0.500 0.000 0.500
0.000 0.500 0.500
0.500 0.000 0.000
0.000 0.000 0.500
0.000 0.500 0.000
0.226 0.774 0.774
0.500 0.500 0.500
0.774 0.226 0.774
0.226 0.226 0.226
0.226 0.226 0.774
0.226 0.774 0.226
0.774 0.226 0.226
0.774 0.774 0.226
0.774 0.774 0.774



Number 1: size of the total moment 0.00 μB/f.u.. Number 2: size of the total moment 0.00 μB/f.u.. Number 3: size of the total moment 0.00 μB/f.u.. Number 4: size of the total moment 0.00 μB/f.u.. Number 5: size of the total moment 0.00 μB/f.u.. Number 6: size of the total moment 0.00 μB/f.u.. Number 7: size of the total moment 0.00 μB/f.u.. Number 8: size of the total moment 0.00 μB/f.u..